No. 1
The following is a PBE-GGA calculation of LaPrCdRu after structural relaxation, from the Alexandria database.

```
LaPrCdRu
1.0
-2.509 -0.697 -2.478
-1.029 -2.901 1.857
-5.323 4.524 4.117
Cd Pr La Ru
1 1 1 1
Direct
0.000 0.000 0.076 Cd
0.500 0.500 0.355 Pr
0.500 0.500 0.784 La
0.000 0.000 0.570 Ru
```

Properties
formation enthalpy at 0 K: -0.229 eV per atom
E: -5.20 eV/atom
energy above the lowest structure with this stoichiometry: 0.000 eV per atom
DOS(E_F): 4.831 states/eV/cell
magnetization: 0.0 μB per formula unit



No. 2
The following is a PBE-GGA calculation of HgS6O2 after structural relaxation, from the Alexandria database.

```
HgS6O2
1.0
-17.662 0.939 8.911
-7.561 4.904 8.025
-6.359 15.380 10.735
S O Hg
12 4 2
Direct
0.822 0.691 0.081 S
0.178 0.309 0.919 S
0.188 0.170 0.713 S
0.494 0.595 0.320 S
0.713 0.670 0.188 S
0.287 0.330 0.812 S
0.320 0.095 0.494 S
0.081 0.191 0.822 S
0.919 0.809 0.178 S
0.506 0.405 0.680 S
0.812 0.830 0.287 S
0.680 0.905 0.506 S
0.359 0.803 0.336 O
0.336 0.303 0.359 O
0.664 0.697 0.641 O
0.641 0.197 0.664 O
0.882 0.750 0.118 Hg
0.118 0.250 0.882 Hg
```

Properties
energy relative to the elements, uncorrected: -1.37 eV/f.u.
E: -4.04 eV/atom
DOS(E_F): 2.769 states/eV/cell
magnetization: 0.0 μB per formula unit



- Which formula does entry 1 have?
  LaPrCdRu